(1)
The following is a PBE-GGA calculation of a geometry-optimized MnNi6Ge structure, from Alexandria via LeMat-Bulk.

E_form in eV per atom: -0.185
Energy above the most stable polymorph in this dataset in meV per atom: 0
Magnetic moment in μB/f.u.: 5.2
Theoretical density in kg/m3: 8745

Unit cell a=5.0516 b=5.0516 c=3.5698 alpha=90.00 beta=90.00 gamma=90.00
Fractional coordinates of all 8 atoms:
Mn1 0.0000 0.0000 0.0000
Ni1 0.0000 0.5000 0.0000
Ni2 0.2494 0.2494 0.5000
Ni3 0.2494 0.7506 0.5000
Ni4 0.5000 0.0000 0.0000
Ni5 0.7506 0.2494 0.5000
Ni6 0.7506 0.7506 0.5000
Ge1 0.5000 0.5000 0.0000

=====

(2)
The following is a PBE-GGA calculation of a geometry-optimized Pm2AlBPd6 structure, from Alexandria via LeMat-Bulk.

E_form in eV per atom: -0.727
Magnetic moment in μB/f.u.: 0.0
Theoretical density in kg/m3: 8794

Unit cell a=5.7588 b=5.7588 c=7.1316 alpha=113.32 beta=113.32 gamma=60.17
Fractional coordinates of all 10 atoms:
Pm1 0.2233 0.2233 0.1624
Pm2 0.7767 0.7767 0.8376
Al1 0.5000 0.5000 0.0000
B1 0.0000 0.0000 0.5000
Pd1 0.2309 0.7158 0.6873
Pd2 0.2334 0.2334 0.6958
Pd3 0.2842 0.7691 0.3127
Pd4 0.7158 0.2309 0.6873
Pd5 0.7666 0.7666 0.3042
Pd6 0.7691 0.2842 0.3127

=====

(3)
The following is a PBE-GGA calculation of a geometry-optimized Cd2AuI2 structure, from Alexandria via LeMat-Bulk.

Formation energy (no corrections) in eV/atom: 0.2784
Energy above the most stable polymorph in this dataset in meV per atom: 203
Magnetic moment in μB/f.u.: 0.0
Theoretical density in kg/m3: 6273

Unit cell a=7.0001 b=7.0001 c=7.0001 alpha=133.24 beta=133.24 gamma=68.28
Fractional coordinates of all 5 atoms:
Cd1 0.2500 0.7500 0.5000
Cd2 0.7500 0.2500 0.5000
Au1 0.0000 0.0000 0.0000
I1 0.3437 0.3437 0.0000
I2 0.6563 0.6563 0.0000

=====

(4)
The following is a PBE-GGA calculation of a geometry-optimized Pr12Hg3O5 structure, from Alexandria via LeMat-Bulk.

Formation energy (no corrections) in eV/atom: -1.4551
Magnetic moment in μB/f.u.: 2.4
Theoretical density in kg/m3: 7296

Unit cell a=14.1049 b=14.1049 c=14.1049 alpha=109.47 beta=109.47 gamma=109.47
Fractional coordinates of all 80 atoms:
Pr1 0.0110 0.1980 0.1079
Pr2 0.0110 0.3130 0.9031
Pr3 0.0900 0.6980 0.6870
Pr4 0.0900 0.8921 0.4031
Pr5 0.0969 0.6079 0.4100
Pr6 0.0969 0.9890 0.6870
Pr7 0.1079 0.0110 0.1980
Pr8 0.1079 0.5969 0.9100
Pr9 0.1870 0.1980 0.5900
Pr10 0.1870 0.4890 0.5969
Pr11 0.1980 0.1079 0.0110
Pr12 0.1980 0.5900 0.1870
Pr13 0.3020 0.3130 0.9100
Pr14 0.3020 0.4890 0.3921
Pr15 0.3130 0.9031 0.0110
Pr16 0.3130 0.9100 0.3020
Pr17 0.3921 0.3020 0.4890
Pr18 0.3921 0.5900 0.9031
Pr19 0.4031 0.0900 0.8921
Pr20 0.4031 0.8130 0.5110
Pr21 0.4100 0.0969 0.6079
Pr22 0.4100 0.8130 0.8020
Pr23 0.4890 0.3921 0.3020
Pr24 0.4890 0.5969 0.1870
Pr25 0.5110 0.4031 0.8130
Pr26 0.5110 0.6079 0.6980
Pr27 0.5900 0.1870 0.1980
Pr28 0.5900 0.9031 0.3921
Pr29 0.5969 0.1870 0.4890
Pr30 0.5969 0.9100 0.1079
Pr31 0.6079 0.4100 0.0969
Pr32 0.6079 0.6980 0.5110
Pr33 0.6870 0.0900 0.6980
Pr34 0.6870 0.0969 0.9890
Pr35 0.6980 0.5110 0.6079
Pr36 0.6980 0.6870 0.0900
Pr37 0.8020 0.4100 0.8130
Pr38 0.8020 0.8921 0.9890
Pr39 0.8130 0.5110 0.4031
Pr40 0.8130 0.8020 0.4100
Pr41 0.8921 0.4031 0.0900
Pr42 0.8921 0.9890 0.8020
Pr43 0.9031 0.0110 0.3130
Pr44 0.9031 0.3921 0.5900
Pr45 0.9100 0.1079 0.5969
Pr46 0.9100 0.3020 0.3130
Pr47 0.9890 0.6870 0.0969
Pr48 0.9890 0.8020 0.8921
Hg1 0.1250 0.2500 0.3750
Hg2 0.1250 0.3750 0.7500
Hg3 0.2500 0.3750 0.1250
Hg4 0.2500 0.8750 0.6250
Hg5 0.3750 0.1250 0.2500
Hg6 0.3750 0.7500 0.1250
Hg7 0.6250 0.2500 0.8750
Hg8 0.6250 0.8750 0.7500
Hg9 0.7500 0.1250 0.3750
Hg10 0.7500 0.6250 0.8750
Hg11 0.8750 0.6250 0.2500
Hg12 0.8750 0.7500 0.6250
O1 0.0000 0.0000 0.0000
O2 0.0000 0.0000 0.5000
O3 0.0000 0.5000 0.0000
O4 0.0000 0.5000 0.5000
O5 0.1250 0.7500 0.8750
O6 0.1250 0.8750 0.2500
O7 0.2500 0.1250 0.8750
O8 0.2500 0.6250 0.3750
O9 0.3750 0.2500 0.6250
O10 0.3750 0.6250 0.7500
O11 0.5000 0.0000 0.0000
O12 0.5000 0.0000 0.5000
O13 0.5000 0.5000 0.0000
O14 0.5000 0.5000 0.5000
O15 0.6250 0.3750 0.2500
O16 0.6250 0.7500 0.3750
O17 0.7500 0.3750 0.6250
O18 0.7500 0.8750 0.1250
O19 0.8750 0.1250 0.7500
O20 0.8750 0.2500 0.1250

=====

(5)
The following is a PBE-GGA calculation of a geometry-optimized AcInRh4 structure, from Alexandria via LeMat-Bulk.

E_form in eV per atom: -0.247
Energy above the most stable polymorph in this dataset in meV per atom: 86
Magnetic moment in μB/f.u.: 0.0
Theoretical density in kg/m3: 10784

Unit cell a=9.0647 b=9.0647 c=6.2362 alpha=90.00 beta=90.00 gamma=153.08
Fractional coordinates of all 12 atoms:
Ac1 0.0926 0.9074 0.7500
Ac2 0.9074 0.0926 0.2500
In1 0.2304 0.7696 0.2500
In2 0.7696 0.2304 0.7500
Rh1 0.0767 0.9233 0.2500
Rh2 0.3425 0.6575 0.5407
Rh3 0.3425 0.6575 0.9593
Rh4 0.5000 0.5000 0.0000
Rh5 0.5000 0.5000 0.5000
Rh6 0.6575 0.3425 0.0407
Rh7 0.6575 0.3425 0.4593
Rh8 0.9233 0.0767 0.7500

=====

(6)
The following is a PBE-GGA calculation of a geometry-optimized NaBiS3 structure, from Alexandria via LeMat-Bulk.

Formation energy (no corrections) in eV/atom: -0.2333
Energy above the most stable polymorph in this dataset in meV per atom: 0
Magnetic moment in μB/f.u.: 0.0
Theoretical density in kg/m3: 4116

Unit cell a=7.6652 b=7.6652 c=7.6652 alpha=52.82 beta=52.82 gamma=52.82
Fractional coordinates of all 10 atoms:
Na1 0.1379 0.1379 0.1379
Na2 0.8621 0.8621 0.8621
Bi1 0.3439 0.3439 0.3439
Bi2 0.6561 0.6561 0.6561
S1 0.0548 0.4709 0.7141
S2 0.2859 0.9452 0.5291
S3 0.4709 0.7141 0.0548
S4 0.5291 0.2859 0.9452
S5 0.7141 0.0548 0.4709
S6 0.9452 0.5291 0.2859

=====

(7)
The following is a PBE-GGA calculation of a geometry-optimized CaScCdHg structure, from Alexandria via LeMat-Bulk.

E_form in eV per atom: -0.359
Energy above the most stable polymorph in this dataset in meV per atom: 42
Magnetic moment in μB/f.u.: 0.0
Theoretical density in kg/m3: 6743

Unit cell a=5.1754 b=5.1754 c=5.1754 alpha=60.00 beta=60.00 gamma=60.00
Fractional coordinates of all 4 atoms:
Ca1 0.0000 0.0000 0.0000
Sc1 0.5000 0.5000 0.5000
Cd1 0.7500 0.7500 0.7500
Hg1 0.2500 0.2500 0.2500

=====

(8)
The following is a PBE-GGA calculation of a geometry-optimized BaH2RhF8 structure, from Alexandria via LeMat-Bulk.

Final energy in eV per atom: -4.701
Magnetic moment in μB/f.u.: 1.0
Theoretical density in kg/m3: 3759

Unit cell a=5.2246 b=5.2246 c=7.4818 alpha=103.04 beta=103.04 gamma=62.14
Fractional coordinates of all 12 atoms:
Ba1 0.0000 0.0000 0.0000
H1 0.2779 0.2779 0.7643
H2 0.7221 0.7221 0.2357
Rh1 0.0000 0.0000 0.5000
F1 0.2276 0.2276 0.5826
F2 0.2395 0.7540 0.3071
F3 0.2460 0.7605 0.6929
F4 0.3092 0.3092 0.9092
F5 0.6908 0.6908 0.0908
F6 0.7540 0.2395 0.3071
F7 0.7605 0.2460 0.6929
F8 0.7724 0.7724 0.4174

=====

(9)
The following is a PBE-GGA calculation of a geometry-optimized TlZnSi2 structure, from Alexandria via LeMat-Bulk.

Formation energy (no corrections) in eV/atom: 0.3607
Energy above the most stable polymorph in this dataset in meV per atom: 99
Magnetic moment in μB/f.u.: 0.0
Theoretical density in kg/m3: 5986

Unit cell a=3.7886 b=4.2006 c=5.7173 alpha=90.00 beta=96.38 gamma=90.00
Fractional coordinates of all 4 atoms:
Tl1 0.0000 0.0000 0.0000
Zn1 0.5000 0.0000 0.5000
Si1 0.2544 0.5000 0.6423
Si2 0.7456 0.5000 0.3577

=====

(10)
The following is a PBE-GGA calculation of a geometry-optimized Nd3Si3Os structure, from Alexandria via LeMat-Bulk.

Formation energy (no corrections) in eV/atom: -0.7047
Magnetic moment in μB/f.u.: 0.2
Theoretical density in kg/m3: 7536

Unit cell a=5.9624 b=5.9624 c=13.9921 alpha=110.38 beta=110.38 gamma=42.49
Fractional coordinates of all 14 atoms:
Nd1 0.0170 0.0170 0.3744
Nd2 0.1018 0.1018 0.9198
Nd3 0.2475 0.2475 0.2284
Nd4 0.7525 0.7525 0.7716
Nd5 0.8982 0.8982 0.0802
Nd6 0.9830 0.9830 0.6256
Si1 0.3528 0.3528 0.4562
Si2 0.3939 0.3939 0.9258
Si3 0.4385 0.4385 0.7584
Si4 0.5615 0.5615 0.2416
Si5 0.6061 0.6061 0.0742
Si6 0.6472 0.6472 0.5438
Os1 0.2555 0.2555 0.5851
Os2 0.7445 0.7445 0.4149

=====

(11)
The following is a PBE-GGA calculation of a geometry-optimized TlCu2Pt structure, from Alexandria via LeMat-Bulk.

E_form in eV per atom: 0.106
Energy above the most stable polymorph in this dataset in meV per atom: 49
Magnetic moment in μB/f.u.: 0.0
Theoretical density in kg/m3: 13598

Unit cell a=4.7547 b=4.7547 c=4.7690 alpha=102.06 beta=102.06 gamma=37.70
Fractional coordinates of all 4 atoms:
Tl1 0.0000 0.0000 0.0000
Cu1 0.4951 0.4951 0.4879
Cu2 0.7595 0.7595 0.2633
Pt1 0.2379 0.2379 0.7081

=====

(12)
The following is a PBE-GGA calculation of a geometry-optimized Y2NbTc3 structure, from Alexandria via LeMat-Bulk.

E_form in eV per atom: -0.129
Magnetic moment in μB/f.u.: 0.0
Theoretical density in kg/m3: 8017

Unit cell a=5.4724 b=5.4724 c=5.4927 alpha=119.76 beta=119.76 gamma=60.27
Fractional coordinates of all 6 atoms:
Y1 0.1224 0.1224 0.3674
Y2 0.8776 0.8776 0.6326
Nb1 0.5000 0.5000 0.5000
Tc1 0.0000 0.5000 0.0000
Tc2 0.5000 0.0000 0.0000
Tc3 0.5000 0.5000 0.0000

=====

Look up the magnetic moment of the twelfth one. 0.0 μB/f.u.

=====

The lowest theoretical density belongs to which entry? BaH2RhF8

=====

Which value of magnetic moment does entry 7 give? 0.0 μB/f.u.